(1)
First-principles (PBE) data for crystalline ReSnS4 at its relaxed geometry, as listed in OQMD via LeMat-Bulk.

Cell: 6.4028 6.8269 7.3161 Å, 62.26 72.56 89.15°
Closest atoms and distances in Å follow each position.
Fractional coordinates of all 12 atoms:
S1 0.2658 0.3450 0.7893  1 Re 2.35, 1 Sn 2.60
S2 0.2656 0.8735 0.7882  1 Re 2.35, 1 Sn 2.60
S3 0.7344 0.1265 0.2118  1 Re 2.35, 1 Sn 2.60
S4 0.2833 0.3996 0.2070  1 Sn 2.52, 2 Re 2.56
S5 0.7448 0.1270 0.7381  2 Re 2.35
S6 0.2552 0.8730 0.2619  2 Re 2.35
S7 0.7342 0.6550 0.2107  1 Re 2.35, 1 Sn 2.60
S8 0.7167 0.6004 0.7930  1 Sn 2.52, 2 Re 2.56
Sn1 0.5044 0.7362 0.5266  6 S 2.52-2.70
Sn2 0.4956 0.2638 0.4734  6 S 2.52-2.70
Re1 0.4993 0.7955 0.9999  6 S 2.35-2.56
Re2 0.5007 0.2045 0.0001  6 S 2.35-2.56


(2)
First-principles (PBE) data for crystalline Sr2Re6S11 at its relaxed geometry, as listed in OQMD via LeMat-Bulk.

Cell: 11.8166 11.8166 11.8166 Å, 45.43 45.43 45.43°
Closest atoms and distances in Å follow each position.
Fractional coordinates of all 38 atoms:
S1 0.0822 0.7009 0.3081  3 Re 2.42-2.43
S2 0.4178 0.1919 0.7991  3 Re 2.42-2.43
S3 0.2500 0.9953 0.5047  2 Re 2.49
S4 0.2009 0.5822 0.8081  3 Re 2.42-2.43
S5 0.5047 0.2500 0.9953  2 Re 2.49
S6 0.4953 0.7500 0.0047  2 Re 2.49
S7 0.7500 0.0047 0.4953  2 Re 2.49
S8 0.5926 0.5926 0.5926  3 Re 2.39
S9 0.1919 0.7991 0.4178  3 Re 2.42-2.43
S10 0.0047 0.4953 0.7500  2 Re 2.49
S11 0.4074 0.4074 0.4074  3 Re 2.39
S12 0.0926 0.0926 0.0926  3 Re 2.39
S13 0.7009 0.3081 0.0822  3 Re 2.42-2.43
S14 0.2991 0.6919 0.9178  3 Re 2.42-2.43
S15 0.9953 0.5047 0.2500  2 Re 2.49
S16 0.8081 0.2009 0.5822  3 Re 2.42-2.43
S17 0.5822 0.8081 0.2009  3 Re 2.42-2.43
S18 0.9074 0.9074 0.9074  3 Re 2.39
S19 0.3081 0.0822 0.7009  3 Re 2.42-2.43
S20 0.7991 0.4178 0.1919  3 Re 2.42-2.43
S21 0.9178 0.2991 0.6919  3 Re 2.42-2.43
S22 0.6919 0.9178 0.2991  3 Re 2.42-2.43
Sr1 0.8103 0.8103 0.8103  7 S 3.01-3.32
Sr2 0.1897 0.1897 0.1897  7 S 3.01-3.32
Sr3 0.6897 0.6897 0.6897  7 S 3.01-3.32
Sr4 0.3103 0.3103 0.3103  7 S 3.01-3.32
Re1 0.9937 0.7879 0.1157  5 S 2.39-2.49, 4 Re 2.62-2.65
Re2 0.4937 0.6157 0.2879  5 S 2.39-2.49, 4 Re 2.62-2.65
Re3 0.5063 0.3843 0.7121  5 S 2.39-2.49, 4 Re 2.62-2.65
Re4 0.7879 0.1157 0.9937  5 S 2.39-2.49, 4 Re 2.62-2.65
Re5 0.1157 0.9937 0.7879  5 S 2.39-2.49, 4 Re 2.62-2.65
Re6 0.3843 0.7121 0.5063  5 S 2.39-2.49, 4 Re 2.62-2.65
Re7 0.0063 0.2121 0.8843  5 S 2.39-2.49, 4 Re 2.62-2.65
Re8 0.6157 0.2879 0.4937  5 S 2.39-2.49, 4 Re 2.62-2.65
Re9 0.2879 0.4937 0.6157  5 S 2.39-2.49, 4 Re 2.62-2.65
Re10 0.8843 0.0063 0.2121  5 S 2.39-2.49, 4 Re 2.62-2.65
Re11 0.7121 0.5063 0.3843  5 S 2.39-2.49, 4 Re 2.62-2.65
Re12 0.2121 0.8843 0.0063  5 S 2.39-2.49, 4 Re 2.62-2.65


(3)
First-principles (PBE) data for crystalline ReTeS at its relaxed geometry, as listed in OQMD via LeMat-Bulk.

Cell: 6.7040 6.8132 7.2309 Å, 92.42 101.77 118.56°
Closest atoms and distances in Å follow each position.
Fractional coordinates of all 12 atoms:
Te1 0.7276 0.8411 0.2212  3 Re 2.63-2.74
Te2 0.2724 0.1589 0.7788  3 Re 2.63-2.74
Te3 0.2093 0.6062 0.7370  3 Re 2.67-2.80
Te4 0.7907 0.3938 0.2630  3 Re 2.67-2.80
Re1 0.0673 0.8225 0.4895  2 S 2.34-2.49
Re2 0.5135 0.2138 0.5040  4 S 2.34-2.52
Re3 0.4865 0.7862 0.4960  4 S 2.34-2.52
Re4 0.9327 0.1775 0.5105  2 S 2.34-2.49
S1 0.2636 0.3704 0.3571  3 Re 2.48-2.52
S2 0.7173 0.0990 0.7411  3 Re 2.34-2.37
S3 0.7364 0.6296 0.6429  3 Re 2.48-2.52
S4 0.2827 0.9010 0.2589  3 Re 2.34-2.37


(4)
First-principles (PBE) data for crystalline ReTeS at its relaxed geometry, as listed in OQMD via LeMat-Bulk.

Cell: 6.7442 6.9779 7.0304 Å, 91.56 104.57 118.19°
Closest atoms and distances in Å follow each position.
Fractional coordinates of all 12 atoms:
Re1 0.9296 0.1714 0.5119  3 S 2.32-2.46
Re2 0.4916 0.8028 0.4945  3 S 2.36-2.45
Re3 0.0704 0.8286 0.4881  3 S 2.32-2.46
Re4 0.5084 0.1972 0.5055  3 S 2.36-2.45
Te1 0.2443 0.3679 0.2878  3 Re 2.77-2.81
Te2 0.2278 0.6051 0.7317  3 Re 2.67-2.83
Te3 0.7722 0.3949 0.2683  3 Re 2.67-2.83
Te4 0.7557 0.6321 0.7122  3 Re 2.77-2.81
S1 0.7337 0.1022 0.7600  3 Re 2.36-2.37
S2 0.2634 0.1459 0.7255  3 Re 2.32-2.46
S3 0.7366 0.8541 0.2745  3 Re 2.32-2.46
S4 0.2663 0.8978 0.2400  3 Re 2.36-2.37


| no. | raw total energy (eV per cell) |
| --- | --- |
| 1 | -69.9 |
| 2 | -278.9 |
| 3 | -82.4 |
| 4 | -82.7 |